1.
Computed, not measured: a relaxed structure of NaAg4As at the PBE level of DFT.

Cell lengths 5.564, 5.564, 5.564 Å; angles 60.00, 60.00, 60.00 degrees
Atoms (fractional coordinates):
1 Ag 0.625 0.124 0.625
2 Ag 0.625 0.625 0.625
3 Ag 0.625 0.625 0.124
4 Ag 0.124 0.625 0.625
5 As 0.250 0.250 0.250
6 Na 0.000 0.000 0.000

Calculated total energy in eV per cell: -17.08
E_form in meV per atom: 50



2.
Computed, not measured: a relaxed structure of NaAg2As2 at the PBE level of DFT.

Cell lengths 8.189, 8.189, 3.032 Å; angles 90.00, 90.00, 90.00 degrees
Atoms (fractional coordinates):
1 Ag 0.369 0.869 0.000
2 Ag 0.131 0.369 0.000
3 Ag 0.631 0.131 0.000
4 Ag 0.869 0.631 0.000
5 As 0.833 0.333 0.500
6 As 0.667 0.833 0.500
7 As 0.333 0.167 0.500
8 As 0.167 0.667 0.500
9 Na 0.000 0.000 0.000
10 Na 0.500 0.500 0.000

Calculated total energy in eV per cell: -32.70
E_form in meV per atom: -6
Relative energy among the computed polymorphs in kJ per mole of atoms: 12.9



3.
Computed, not measured: a relaxed structure of NaAg6As2 at the PBE level of DFT.

Cell lengths 4.250, 4.250, 9.927 Å; angles 90.00, 90.00, 90.00 degrees
Atoms (fractional coordinates):
1 As 0.500 0.500 0.876
2 As 0.500 0.500 0.124
3 Ag 0.500 0.000 0.707
4 Ag 0.500 0.500 0.500
5 Ag 0.000 0.000 0.500
6 Ag 0.500 0.000 0.293
7 Ag 0.000 0.500 0.293
8 Ag 0.000 0.500 0.707
9 Na 0.000 0.000 0.000

Calculated total energy in eV per cell: -28.02
E_form in meV per atom: -33



4.
Computed, not measured: a relaxed structure of NaAgAs at the PBE level of DFT.

Cell lengths 4.391, 7.126, 12.507 Å; angles 90.00, 90.00, 90.00 degrees
Atoms (fractional coordinates):
1 Na 0.000 0.754 0.041
2 Na 0.000 0.246 0.959
3 Na 0.000 0.130 0.250
4 Na 0.000 0.246 0.541
5 Na 0.000 0.870 0.750
6 Na 0.000 0.754 0.459
7 Ag 0.500 0.210 0.750
8 Ag 0.500 0.577 0.872
9 Ag 0.500 0.423 0.372
10 Ag 0.500 0.423 0.128
11 Ag 0.500 0.790 0.250
12 Ag 0.500 0.577 0.628
13 As 0.500 0.942 0.591
14 As 0.000 0.447 0.750
15 As 0.000 0.553 0.250
16 As 0.500 0.058 0.091
17 As 0.500 0.058 0.409
18 As 0.500 0.942 0.909

Calculated total energy in eV per cell: -56.21
E_form in meV per atom: -183
Relative energy among the computed polymorphs in kJ per mole of atoms: 5.3



5.
Computed, not measured: a relaxed structure of NaAgAs at the PBE level of DFT.

Cell lengths 4.708, 5.734, 6.543 Å; angles 60.56, 68.92, 65.76 degrees
Atoms (fractional coordinates):
1 As 0.111 0.984 0.794
2 As 0.889 0.016 0.206
3 Na 0.169 0.422 0.241
4 Na 0.831 0.578 0.759
5 Ag 0.581 0.196 0.643
6 Ag 0.419 0.804 0.357

Calculated total energy in eV per cell: -18.61
E_form in meV per atom: -162
Relative energy among the computed polymorphs in kJ per mole of atoms: 7.3



6.
Computed, not measured: a relaxed structure of Na2AgAs at the PBE level of DFT.

Cell lengths 5.782, 5.782, 5.697 Å; angles 90.00, 90.00, 100.34 degrees
Atoms (fractional coordinates):
1 Ag 0.500 0.500 0.500
2 Ag 0.500 0.500 0.000
3 Na 0.969 0.325 0.750
4 Na 0.031 0.675 0.250
5 Na 0.325 0.969 0.750
6 Na 0.675 0.031 0.250
7 As 0.212 0.212 0.250
8 As 0.788 0.788 0.750

Calculated total energy in eV per cell: -23.33
E_form in meV per atom: -381
Relative energy among the computed polymorphs in kJ per mole of atoms: 0.0



7.
Computed, not measured: a relaxed structure of NaAgAs at the PBE level of DFT.

Cell lengths 4.632, 6.861, 7.998 Å; angles 90.00, 90.00, 90.00 degrees
Atoms (fractional coordinates):
1 As 0.000 0.191 0.404
2 As 0.500 0.691 0.904
3 As 0.500 0.309 0.904
4 As 0.000 0.809 0.404
5 Na 0.000 0.500 0.701
6 Na 0.500 0.000 0.201
7 Na 0.000 0.000 0.768
8 Na 0.500 0.500 0.268
9 Ag 0.000 0.275 0.074
10 Ag 0.500 0.225 0.574
11 Ag 0.500 0.775 0.574
12 Ag 0.000 0.725 0.074

Calculated total energy in eV per cell: -38.13
E_form in meV per atom: -238
Relative energy among the computed polymorphs in kJ per mole of atoms: 0.0



8.
Computed, not measured: a relaxed structure of NaAgAs2 at the PBE level of DFT.

Cell lengths 4.818, 4.818, 4.818 Å; angles 60.00, 60.00, 60.00 degrees
Atoms (fractional coordinates):
1 Ag 0.500 0.500 0.500
2 As 0.750 0.750 0.750
3 As 0.250 0.250 0.250
4 Na 0.000 0.000 0.000

Calculated total energy in eV per cell: -13.12
E_form in meV per atom: 88
Relative energy among the computed polymorphs in kJ per mole of atoms: 8.6



9.
Computed, not measured: a relaxed structure of Na2AgAs at the PBE level of DFT.

Cell lengths 4.949, 4.949, 4.949 Å; angles 60.00, 60.00, 60.00 degrees
Atoms (fractional coordinates):
1 Na 0.750 0.750 0.750
2 Na 0.250 0.250 0.250
3 Ag 0.500 0.500 0.500
4 As 0.000 0.000 0.000

Calculated total energy in eV per cell: -10.60
E_form in meV per atom: -114
Relative energy among the computed polymorphs in kJ per mole of atoms: 25.8



10.
Computed, not measured: a relaxed structure of NaAg2As2 at the PBE level of DFT.

Cell lengths 8.194, 8.194, 3.049 Å; angles 90.00, 90.00, 90.00 degrees
Atoms (fractional coordinates):
1 Ag 0.859 0.359 0.500
2 Ag 0.641 0.859 0.500
3 Ag 0.141 0.641 0.500
4 Ag 0.359 0.141 0.500
5 As 0.342 0.842 0.000
6 As 0.658 0.158 0.000
7 As 0.158 0.342 0.000
8 As 0.842 0.658 0.000
9 Na 0.500 0.500 0.000
10 Na 0.000 0.000 0.000

Calculated total energy in eV per cell: -32.57
E_form in meV per atom: 7
Relative energy among the computed polymorphs in kJ per mole of atoms: 14.2



11.
Computed, not measured: a relaxed structure of Na2AgAs at the PBE level of DFT.

Cell lengths 11.203, 11.203, 8.297 Å; angles 47.54, 47.54, 90.00 degrees
Atoms (fractional coordinates):
1 Ag 0.000 0.000 0.000
2 Ag 0.750 0.250 0.500
3 Na 0.378 0.125 0.250
4 Na 0.375 0.622 0.750
5 Na 0.372 0.625 0.250
6 Na 0.875 0.628 0.750
7 As 0.500 0.500 0.000
8 As 0.250 0.750 0.500

Calculated total energy in eV per cell: -21.65
E_form in meV per atom: -172
Relative energy among the computed polymorphs in kJ per mole of atoms: 20.2



12.
Computed, not measured: a relaxed structure of Na3AgAs at the PBE level of DFT.

Cell lengths 5.522, 5.522, 5.522 Å; angles 90.00, 90.00, 90.00 degrees
Atoms (fractional coordinates):
1 Na 0.000 0.000 0.500
2 Na 0.000 0.500 0.000
3 Na 0.500 0.000 0.000
4 Ag 0.500 0.500 0.500
5 As 0.000 0.000 0.000

Calculated total energy in eV per cell: -11.25
E_form in meV per atom: 42
Relative energy among the computed polymorphs in kJ per mole of atoms: 20.4